[1]
Density functional theory data (PBE-GGA) for a geometry-optimized CaTl2H structure.

Its total DFT energy (no corrections) is -41.16 eV per cell. The value obtained for the total magnetization is 0.00 μB/cell.

The space group is I-42d (No. 122) and the conventional cell measures 9.575, 9.575 and 4.419 Å, with angles of 90.00, 90.00 and 90.00 degrees. The inequivalent atoms are Ca at (0.000, 0.000, 0.000), Tl at (0.135, 0.250, 0.625) and H at (0.000, 0.000, 0.500).

***

[2]
Density functional theory data (PBE-GGA) for a geometry-optimized Ca3TlH structure.

Its total DFT energy (no corrections) is -10.12 eV per cell. The value obtained for the total magnetization is 0.00 μB/cell.

The space group is Pm-3m (No. 221) and the conventional cell measures 5.985, 5.985 and 5.985 Å, with angles of 90.00, 90.00 and 90.00 degrees. The inequivalent atoms are Ca at (0.000, 0.000, 0.500), Tl at (0.000, 0.000, 0.000) and H at (0.500, 0.500, 0.500).

***

[3]
Density functional theory data (PBE-GGA) for a geometry-optimized CaTl2H structure.

Its total DFT energy (no corrections) is -35.14 eV per cell. The value obtained for the total magnetization is 0.00 μB/cell.

The space group is Fm-3m (No. 225) and the conventional cell measures 7.357, 7.357 and 7.357 Å, with angles of 90.00, 90.00 and 90.00 degrees. The inequivalent atoms are Ca at (0.000, 0.000, 0.000), Tl at (0.250, 0.250, 0.250) and H at (0.000, 0.000, 0.500).

***

[4]
Density functional theory data (PBE-GGA) for a geometry-optimized Ca3TlH structure.

Its total DFT energy (no corrections) is -53.76 eV per cell. The value obtained for the total magnetization is 0.00 μB/cell.

The space group is Cmcm (No. 63) and the conventional cell measures 3.821, 14.631 and 10.008 Å, with angles of 90.00, 90.00 and 90.00 degrees. The inequivalent atoms are Ca at (0.000, 0.040, 0.250), Ca at (0.000, 0.361, 0.063), Tl at (0.000, 0.276, 0.750) and H at (0.000, 0.454, 0.250).

***

[5]
Density functional theory data (PBE-GGA) for a geometry-optimized Ca4Tl2H structure.

Its total DFT energy (no corrections) is -36.81 eV per cell. The value obtained for the total magnetization is 0.00 μB/cell.

The space group is I4/mmm (No. 139) and the conventional cell measures 4.771, 4.771 and 17.523 Å, with angles of 90.00, 90.00 and 90.00 degrees. The inequivalent atoms are Ca at (0.000, 0.000, 0.181), Ca at (0.000, 0.500, 0.000), Tl at (0.000, 0.000, 0.367) and H at (0.000, 0.000, 0.000).

***

[6]
Density functional theory data (PBE-GGA) for a geometry-optimized Ca5Tl2H2 structure.

Its total DFT energy (no corrections) is -49.41 eV per cell. The value obtained for the total magnetization is 0.00 μB/cell.

The space group is C2/m (No. 12) and the conventional cell measures 12.384, 5.492 and 6.738 Å, with angles of 90.00, 97.96 and 90.00 degrees. The inequivalent atoms are Ca at (0.000, 0.000, 0.000), Ca at (0.152, 0.000, 0.546), Ca at (0.172, 0.500, 0.893), Tl at (0.079, 0.500, 0.320) and H at (0.167, 0.000, 0.891).

***

[7]
Density functional theory data (PBE-GGA) for a geometry-optimized Ca5Tl2H2 structure.

Its total DFT energy (no corrections) is -98.38 eV per cell. The value obtained for the total magnetization is 0.00 μB/cell.

The space group is Ima2 (No. 46) and the conventional cell measures 22.029, 6.618 and 6.582 Å, with angles of 90.00, 90.00 and 90.00 degrees. The inequivalent atoms are Ca at (0.002, 0.250, 0.000), Ca at (0.147, 0.524, 0.261), Ca at (0.250, 0.081, 0.330), Tl at (0.110, 0.005, 0.250), H at (0.000, 0.000, 0.750) and H at (0.250, 0.088, 0.692).

***

[8]
Density functional theory data (PBE-GGA) for a geometry-optimized Ca6Tl2H structure.

Its total DFT energy (no corrections) is -45.54 eV per cell. The value obtained for the total magnetization is 0.01 μB/cell.

The space group is P2_1/c (No. 14) and the conventional cell measures 6.691, 8.582 and 11.730 Å, with angles of 90.00, 123.07 and 90.00 degrees. The inequivalent atoms are Ca at (0.112, 0.162, 0.446), Ca at (0.295, 0.684, 0.442), Ca at (0.352, 0.028, 0.249), Tl at (0.201, 0.118, 0.752) and H at (0.500, 0.000, 0.500).

***

[9]
Density functional theory data (PBE-GGA) for a geometry-optimized Ca6Tl3H2 structure.

Its total DFT energy (no corrections) is -58.82 eV per cell. The value obtained for the total magnetization is 0.00 μB/cell.

The space group is I4/mmm (No. 139) and the conventional cell measures 4.956, 4.956 and 24.811 Å, with angles of 90.00, 90.00 and 90.00 degrees. The inequivalent atoms are Ca at (0.000, 0.000, 0.200), Ca at (0.000, 0.500, 0.082), Tl at (0.000, 0.000, 0.330), Tl at (0.000, 0.000, 0.500) and H at (0.000, 0.000, 0.101).

***

[10]
Density functional theory data (PBE-GGA) for a geometry-optimized CaTl2H2 structure.

Its total DFT energy (no corrections) is -24.49 eV per cell. The value obtained for the total magnetization is 0.00 μB/cell.

The space group is I4/mmm (No. 139) and the conventional cell measures 3.937, 3.937 and 13.224 Å, with angles of 90.00, 90.00 and 90.00 degrees. The inequivalent atoms are Ca at (0.000, 0.000, 0.000), Tl at (0.000, 0.000, 0.347) and H at (0.000, 0.500, 0.250).

***

[11]
Density functional theory data (PBE-GGA) for a geometry-optimized Ca4Tl2H structure.

Its total DFT energy (no corrections) is -37.27 eV per cell. The value obtained for the total magnetization is 0.00 μB/cell.

The space group is P2_1/m (No. 11) and the conventional cell measures 6.523, 7.024 and 9.220 Å, with angles of 90.00, 108.54 and 90.00 degrees. The inequivalent atoms are Ca at (0.041, 0.002, 0.291), Ca at (0.358, 0.750, 0.045), Ca at (0.425, 0.750, 0.650), Tl at (0.174, 0.250, 0.020), Tl at (0.328, 0.250, 0.606) and H at (0.191, 0.750, 0.785).

***

[12]
Density functional theory data (PBE-GGA) for a geometry-optimized Ca12Tl3H5 structure.

Its total DFT energy (no corrections) is -430.30 eV per cell. The value obtained for the total magnetization is 0.00 μB/cell.

The space group is Ia-3d (No. 230) and the conventional cell measures 16.290, 16.290 and 16.290 Å, with angles of 90.00, 90.00 and 90.00 degrees. The inequivalent atoms are Ca at (0.038, 0.054, 0.654), Tl at (0.000, 0.250, 0.125), H at (0.000, 0.000, 0.000) and H at (0.000, 0.250, 0.375).